Entry 1:
Material: Na3IO
Method: DFT, PBE-GGA
State: optimized geometry

Symmetry ... P-1 (2)
Fermi-level density of states ... 0.00 states/eV per cell
Energy relative to the elements, uncorrected ... -1.21 eV per atom
Magnetic moment ... 0.0 Bohr magnetons per cell

Unit cell a=4.6228 b=6.8295 c=7.8139 alpha=114.86 beta=90.20 gamma=90.03
Last column: nearest neighbours and their distance in Å.
Sites, in units of the cell vectors:
1 Na 0.0000 0.0000 0.0000  2 O 2.42
2 Na 0.0003 0.2087 0.4946  2 O 2.32-2.34
3 Na 0.0000 0.5000 0.0000  2 O 2.43
4 Na 0.9997 0.7913 0.5054  2 O 2.32-2.34
5 Na 0.4993 0.1452 0.7808  2 O 2.32
6 Na 0.5007 0.8548 0.2192  2 O 2.32
7 I 0.4974 0.6403 0.7702  9 Na 3.18-3.54
8 I 0.5026 0.3597 0.2298  9 Na 3.18-3.54
9 O 0.0009 0.8676 0.2421  6 Na 2.32-2.43
10 O 0.9991 0.1324 0.7579  6 Na 2.32-2.43



Entry 2:
Material: Na3IO
Method: DFT, PBE-GGA
State: optimized geometry

Symmetry ... C2/m (12)
Fermi-level density of states ... 0.00 states/eV per cell
Energy relative to the elements, uncorrected ... -1.11 eV per atom
Magnetic moment ... 0.0 Bohr magnetons per cell

Unit cell a=8.5379 b=8.5379 c=8.7854 alpha=103.49 beta=103.49 gamma=26.02
Last column: nearest neighbours and their distance in Å.
Sites, in units of the cell vectors:
1 Na 0.0740 0.0740 0.2775  2 O 2.39, 1 Na 2.66
2 Na 0.1960 0.1960 0.5361  3 O 2.38-2.45, 1 Na 2.66
3 Na 0.3102 0.3102 0.8711  1 O 2.22
4 Na 0.6898 0.6898 0.1289  1 O 2.22
5 Na 0.8040 0.8040 0.4639  3 O 2.38-2.45, 1 Na 2.66
6 Na 0.9260 0.9260 0.7225  2 O 2.39, 1 Na 2.66
7 I 0.1190 0.1190 0.8550  5 Na 3.08-3.35
8 I 0.8810 0.8810 0.1450  5 Na 3.08-3.35
9 O 0.3416 0.3416 0.6394  6 Na 2.22-2.45
10 O 0.6584 0.6584 0.3606  6 Na 2.22-2.45



Entry 3:
Material: Na2IO
Method: DFT, PBE-GGA
State: optimized geometry

Symmetry ... I-42d (122)
Fermi-level density of states ... 2.21 states/eV per cell
E above lowest polymorph ... 0 meV/atom
Energy relative to the elements, uncorrected ... -0.90 eV per atom
Magnetic moment ... 0.0 Bohr magnetons per cell

Unit cell a=6.3422 b=6.3422 c=6.3422 alpha=102.06 beta=102.06 gamma=125.60
Last column: nearest neighbours and their distance in Å.
Sites, in units of the cell vectors:
1 Na 0.3750 0.2362 0.3612  2 O 2.30
2 Na 0.7638 0.1250 0.1388  2 O 2.30
3 Na 0.8750 0.0138 0.6388  2 O 2.30
4 Na 0.9862 0.6250 0.8612  2 O 2.30
5 I 0.2500 0.7500 0.5000  2 O 2.90, 4 Na 3.08
6 I 0.5000 0.5000 0.0000  2 O 2.90, 4 Na 3.08
7 O 0.0000 0.0000 0.0000  4 Na 2.30
8 O 0.7500 0.2500 0.5000  4 Na 2.30



Entry 4:
Material: NaOsIO2
Method: DFT, PBE-GGA
State: optimized geometry

Symmetry ... P4/mmm (123)
Fermi-level density of states ... 4.99 states/eV per cell
E above lowest polymorph ... 1910 meV/atom
Energy relative to the elements, uncorrected ... 1.26 eV per atom
Magnetic moment ... 5.5 Bohr magnetons per cell

Unit cell a=4.1242 b=4.1242 c=5.7892 alpha=90.00 beta=90.00 gamma=90.00
Last column: nearest neighbours and their distance in Å.
Sites, in units of the cell vectors:
1 Na 0.0000 0.0000 0.0000  4 O 2.06
2 Os 0.5000 0.5000 0.5000  4 I 2.92
3 I 0.0000 0.0000 0.5000  2 Na 2.89, 4 Os 2.92
4 O 0.0000 0.5000 0.0000  2 Na 2.06
5 O 0.5000 0.0000 0.0000  2 Na 2.06



Entry 5:
Material: NaOsIO2
Method: DFT, PBE-GGA
State: optimized geometry

Symmetry ... P4/mmm (123)
Fermi-level density of states ... 2.84 states/eV per cell
E above lowest polymorph ... 0 meV/atom
Energy relative to the elements, uncorrected ... -0.65 eV per atom
Magnetic moment ... 0.2 Bohr magnetons per cell

Unit cell a=3.8703 b=3.8703 c=6.5271 alpha=90.00 beta=90.00 gamma=90.00
Last column: nearest neighbours and their distance in Å.
Sites, in units of the cell vectors:
1 Na 0.0000 0.0000 0.0000  4 I 2.74
2 Os 0.5000 0.5000 0.5000  4 O 1.94
3 I 0.5000 0.5000 0.0000  4 Na 2.74
4 O 0.0000 0.5000 0.5000  2 Os 1.94
5 O 0.5000 0.0000 0.5000  2 Os 1.94



Entry 6:
Material: NaP2IO
Method: DFT, PBE-GGA
State: optimized geometry

Symmetry ... P4/mmm (123)
Fermi-level density of states ... 4.13 states/eV per cell
E above lowest polymorph ... 0 meV/atom
Energy relative to the elements, uncorrected ... 0.65 eV per atom
Magnetic moment ... 0.0 Bohr magnetons per cell

Unit cell a=5.3612 b=5.3612 c=3.9703 alpha=90.00 beta=90.00 gamma=90.00
Last column: nearest neighbours and their distance in Å.
Sites, in units of the cell vectors:
1 Na 0.0000 0.0000 0.0000  8 P 3.34
2 P 0.0000 0.5000 0.5000  2 I 2.68
3 P 0.5000 0.0000 0.5000  2 I 2.68
4 I 0.5000 0.5000 0.5000  2 O 1.99
5 O 0.5000 0.5000 0.0000  2 I 1.99



Entry 7:
Material: NaPIO2
Method: DFT, PBE-GGA
State: optimized geometry

Symmetry ... P4/mmm (123)
Fermi-level density of states ... 1.58 states/eV per cell
E above lowest polymorph ... 642 meV/atom
Energy relative to the elements, uncorrected ... 0.09 eV per atom
Magnetic moment ... 1.0 Bohr magnetons per cell

Unit cell a=4.1095 b=4.1095 c=5.4180 alpha=90.00 beta=90.00 gamma=90.00
Last column: nearest neighbours and their distance in Å.
Sites, in units of the cell vectors:
1 Na 0.0000 0.0000 0.0000  4 P 2.91
2 P 0.5000 0.5000 0.0000  2 I 2.71, 4 Na 2.91
3 I 0.5000 0.5000 0.5000  4 O 2.05
4 O 0.0000 0.5000 0.5000  2 I 2.05
5 O 0.5000 0.0000 0.5000  2 I 2.05



Entry 8:
Material: NaP2IO
Method: DFT, PBE-GGA
State: optimized geometry

Symmetry ... P4/mmm (123)
Fermi-level density of states ... 5.86 states/eV per cell
E above lowest polymorph ... 454 meV/atom
Energy relative to the elements, uncorrected ... 1.10 eV per atom
Magnetic moment ... 0.0 Bohr magnetons per cell

Unit cell a=5.1045 b=5.1045 c=4.0261 alpha=90.00 beta=90.00 gamma=90.00
Last column: nearest neighbours and their distance in Å.
Sites, in units of the cell vectors:
1 Na 0.0000 0.0000 0.0000  2 O 2.01
2 P 0.0000 0.5000 0.0000  2 Na 2.55
3 P 0.5000 0.0000 0.0000  2 Na 2.55
4 I 0.5000 0.5000 0.5000  8 P 3.25, 4 O 3.61
5 O 0.0000 0.0000 0.5000  2 Na 2.01



Entry 9:
Material: NaPIO2
Method: DFT, PBE-GGA
State: optimized geometry

Symmetry ... P4/mmm (123)
Fermi-level density of states ... 0.86 states/eV per cell
E above lowest polymorph ... 0 meV/atom
Energy relative to the elements, uncorrected ... -0.55 eV per atom
Magnetic moment ... 0.0 Bohr magnetons per cell

Unit cell a=3.7885 b=3.7885 c=5.9104 alpha=90.00 beta=90.00 gamma=90.00
Last column: nearest neighbours and their distance in Å.
Sites, in units of the cell vectors:
1 Na 0.0000 0.0000 0.0000  4 I 2.68
2 P 0.5000 0.5000 0.5000  4 O 1.89
3 I 0.5000 0.5000 0.0000  4 Na 2.68, 2 P 2.96
4 O 0.0000 0.5000 0.5000  2 P 1.89
5 O 0.5000 0.0000 0.5000  2 P 1.89



Entry 10:
Material: NaPIO2
Method: DFT, PBE-GGA
State: optimized geometry

Symmetry ... P4/mmm (123)
Fermi-level density of states ... 6.16 states/eV per cell
E above lowest polymorph ... 1314 meV/atom
Energy relative to the elements, uncorrected ... 0.76 eV per atom
Magnetic moment ... 1.7 Bohr magnetons per cell

Unit cell a=4.2715 b=4.2715 c=6.4916 alpha=90.00 beta=90.00 gamma=90.00
Last column: nearest neighbours and their distance in Å.
Sites, in units of the cell vectors:
1 Na 0.0000 0.0000 0.0000  4 O 2.14
2 P 0.5000 0.5000 0.5000  4 I 3.02
3 I 0.0000 0.0000 0.5000  4 P 3.02, 2 Na 3.25
4 O 0.0000 0.5000 0.0000  2 Na 2.14
5 O 0.5000 0.0000 0.0000  2 Na 2.14



Entry 11:
Material: NaPIO2
Method: DFT, PBE-GGA
State: optimized geometry

Symmetry ... P4/mmm (123)
Fermi-level density of states ... 5.59 states/eV per cell
E above lowest polymorph ... 1291 meV/atom
Energy relative to the elements, uncorrected ... 0.74 eV per atom
Magnetic moment ... 4.0 Bohr magnetons per cell

Unit cell a=4.2504 b=4.2504 c=5.8677 alpha=90.00 beta=90.00 gamma=90.00
Last column: nearest neighbours and their distance in Å.
Sites, in units of the cell vectors:
1 Na 0.0000 0.0000 0.0000  4 O 2.13
2 P 0.0000 0.0000 0.5000  2 Na 2.93, 4 I 3.01
3 I 0.5000 0.5000 0.5000  4 P 3.01
4 O 0.0000 0.5000 0.0000  2 Na 2.13
5 O 0.5000 0.0000 0.0000  2 Na 2.13